CrSeBr2F (PBE with a Hubbard U, optimized geometry); calculated volume = 125.1 Å³/f.u.; offset from the most stable computed form = 0.1391 eV/atom; crystal system = tetragonal
1.0
5.6560 0.0000 0.0000
0.0000 5.6560 0.0000
0.0000 0.0000 3.9100
Cr Se Br F
1 1 2 1
direct
0.0000 0.0000 0.0000
0.5000 0.5000 0.0000
0.0000 0.5000 0.5000
0.5000 0.0000 0.5000
0.5000 0.5000 0.5000